! Pm6DyEr2Tm3 PBE optimized geometry; values from VASP
! E_form = 0.0145 eV per atom
! E = -4.6227 eV/atom
&SYSTEM
  ibrav = 0, nat = 12, ntyp = 4
/
ATOMIC_SPECIES
Pm 145.00 Pm.upf
Dy 162.50 Dy.upf
Er 167.26 Er.upf
Tm 168.93 Tm.upf
CELL_PARAMETERS angstrom
3.106 -5.378 0.000
3.106 5.378 0.000
-2.062 0.000 11.552
ATOMIC_POSITIONS angstrom
Pm 1.035 1.794 2.876
Pm 0.007 0.000 8.676
Pm 1.035 -1.794 2.876
Pm 3.114 1.794 8.676
Pm 4.142 0.000 2.877
Pm 3.114 -1.794 8.676
Dy 2.075 0.000 5.776
Er 2.075 3.585 5.776
Er 2.075 -3.585 5.776
Tm 0.000 0.000 0.000
Tm 3.106 1.793 0.000
Tm 3.106 -1.793 0.000

! HfSc2Fe PBE optimized geometry; values from VASP
! relative energy among the computed polymorphs = 445 meV/atom
! E_form = 0.3449 eV per atom
! E = -7.4249 eV/atom
&SYSTEM
  ibrav = 0, nat = 16, ntyp = 3
/
ATOMIC_SPECIES
Hf 178.49 Hf.upf
Sc 44.96 Sc.upf
Fe 55.84 Fe.upf
CELL_PARAMETERS angstrom
6.714 0.000 0.000
0.000 6.714 0.000
0.000 0.000 6.714
ATOMIC_POSITIONS angstrom
Hf 0.000 0.000 0.000
Hf 0.000 3.357 3.357
Hf 3.357 0.000 3.357
Hf 3.357 3.357 0.000
Sc 1.678 1.678 1.678
Sc 1.678 1.678 5.035
Sc 1.678 5.035 1.678
Sc 1.678 5.035 5.035
Sc 5.035 1.678 1.678
Sc 5.035 1.678 5.035
Sc 5.035 5.035 1.678
Sc 5.035 5.035 5.035
Fe 0.000 0.000 3.357
Fe 0.000 3.357 0.000
Fe 3.357 0.000 0.000
Fe 3.357 3.357 3.357

! CoAu5 PBE optimized geometry; values from VASP
! E_form = 0.0948 eV per atom
! E = -3.8207 eV/atom
&SYSTEM
  ibrav = 0, nat = 6, ntyp = 2
/
ATOMIC_SPECIES
Co 58.93 Co.upf
Au 196.97 Au.upf
CELL_PARAMETERS angstrom
2.900 0.000 0.000
0.000 2.900 0.000
0.000 0.000 12.090
ATOMIC_POSITIONS angstrom
Co 0.000 0.000 0.000
Au 0.000 0.000 3.909
Au 0.000 0.000 8.182
Au 1.450 1.450 1.752
Au 1.450 1.450 6.045
Au 1.450 1.450 10.338

! BaAsPtSe2 PBE optimized geometry; values from VASP
! formation energy without anion corrections = 1.314 eV/atom
! relative energy among the computed polymorphs = 1947 meV/atom
! E = -2.6026 eV/atom
&SYSTEM
  ibrav = 0, nat = 5, ntyp = 4
/
ATOMIC_SPECIES
Ba 137.33 Ba.upf
As 74.92 As.upf
Pt 195.08 Pt.upf
Se 78.96 Se.upf
CELL_PARAMETERS angstrom
6.000 0.000 0.000
0.000 6.000 0.000
0.000 0.000 6.090
ATOMIC_POSITIONS angstrom
Ba 0.000 0.000 0.000
As 0.000 0.000 3.045
Pt 3.000 3.000 3.045
Se 0.000 3.000 0.000
Se 3.000 0.000 0.000

! SrSn2Ru PBE optimized geometry; values from VASP
! E_form = 0.0323 eV per atom
! E = -4.7086 eV/atom
&SYSTEM
  ibrav = 0, nat = 16, ntyp = 3
/
ATOMIC_SPECIES
Sr 87.62 Sr.upf
Sn 118.71 Sn.upf
Ru 101.07 Ru.upf
CELL_PARAMETERS angstrom
5.647 0.000 0.000
0.000 5.647 0.000
0.000 0.000 16.761
ATOMIC_POSITIONS angstrom
Sr 0.000 0.000 0.000
Sr 0.000 2.823 4.190
Sr 2.823 0.000 12.571
Sr 2.823 2.823 8.380
Sn 0.403 1.412 10.475
Sn 1.412 3.226 14.666
Sn 1.412 5.244 6.285
Sn 2.421 1.412 2.095
Sn 3.226 4.235 2.095
Sn 4.235 0.403 6.285
Sn 4.235 2.421 14.666
Sn 5.244 4.235 10.475
Ru 0.000 0.000 8.380
Ru 0.000 2.823 12.571
Ru 2.823 0.000 4.190
Ru 2.823 2.823 0.000

! TmZr2S PBE optimized geometry; values from VASP
! formation energy without anion corrections = -0.431 eV/atom
! E = -6.8547 eV/atom
&SYSTEM
  ibrav = 0, nat = 12, ntyp = 3
/
ATOMIC_SPECIES
Tm 168.93 Tm.upf
Zr 91.22 Zr.upf
S 32.06 S.upf
CELL_PARAMETERS angstrom
3.523 0.000 0.000
-1.761 3.051 0.000
0.000 0.000 27.258
ATOMIC_POSITIONS angstrom
Tm 0.000 0.000 0.000
Tm 0.000 2.034 18.172
Tm 1.761 1.017 9.086
Zr 0.000 0.000 3.078
Zr 0.000 0.000 24.179
Zr 0.000 2.034 15.093
Zr 0.000 2.034 21.250
Zr 1.761 1.017 6.007
Zr 1.761 1.017 12.164
S 0.000 0.000 13.629
S 0.000 2.034 4.543
S 1.761 1.017 22.715

> Number 4 is which compound?

BaAsPtSe2

> What is the formula in the second record?

HfSc2Fe

Copy entry 6 word for word.
! TmZr2S PBE optimized geometry; values from VASP
! formation energy without anion corrections = -0.431 eV/atom
! E = -6.8547 eV/atom
&SYSTEM
  ibrav = 0, nat = 12, ntyp = 3
/
ATOMIC_SPECIES
Tm 168.93 Tm.upf
Zr 91.22 Zr.upf
S 32.06 S.upf
CELL_PARAMETERS angstrom
3.523 0.000 0.000
-1.761 3.051 0.000
0.000 0.000 27.258
ATOMIC_POSITIONS angstrom
Tm 0.000 0.000 0.000
Tm 0.000 2.034 18.172
Tm 1.761 1.017 9.086
Zr 0.000 0.000 3.078
Zr 0.000 0.000 24.179
Zr 0.000 2.034 15.093
Zr 0.000 2.034 21.250
Zr 1.761 1.017 6.007
Zr 1.761 1.017 12.164
S 0.000 0.000 13.629
S 0.000 2.034 4.543
S 1.761 1.017 22.715

> Among the records above, which one has the lowest E?

HfSc2Fe